# 1
## NdPuAlHg (PBE-GGA)

Data for NdPuAlHg after structural relaxation.

a = 5.3114 Å, b = 5.3114 Å, c = 5.3114 Å
α = 60.00°, β = 60.00°, γ = 60.00°
With the nearest neighbours (Å) after each atom.
Sites, in units of the cell vectors:
Nd  0.0000  0.0000  0.0000  4 Hg 3.25, 4 Al 3.25
Pu  0.5000  0.5000  0.5000  4 Al 3.25, 4 Hg 3.25
Al  0.7500  0.7500  0.7500  4 Pu 3.25, 4 Nd 3.25
Hg  0.2500  0.2500  0.2500  4 Pu 3.25, 4 Nd 3.25

Values from the calculation:
Raw total energy (eV per cell): -23.91
Size of the total moment (μB per formula unit): 6.40
Energy of formation from the pure elements (eV/atom): -0.19
Space group: F-43m (216)
Theoretical density (g/cm³): 9.65

=====

# 2
## NdSmAlHg (PBE-GGA)

Data for NdSmAlHg after structural relaxation.

a = 5.3523 Å, b = 5.3523 Å, c = 5.3523 Å
α = 60.00°, β = 60.00°, γ = 60.00°
With the nearest neighbours (Å) after each atom.
Sites, in units of the cell vectors:
Nd  0.0000  0.0000  0.0000  4 Hg 3.28, 4 Al 3.28
Sm  0.5000  0.5000  0.5000  4 Hg 3.28, 4 Al 3.28
Al  0.2500  0.2500  0.2500  4 Sm 3.28, 4 Nd 3.28
Hg  0.7500  0.7500  0.7500  4 Sm 3.28, 4 Nd 3.28

Values from the calculation:
ΔE to the lowest computed polymorph (meV/atom): 40
Raw total energy (eV per cell): -15.06
Size of the total moment (μB per formula unit): 0.00
Energy of formation from the pure elements (eV/atom): -0.38
Space group: F-43m (216)
Theoretical density (g/cm³): 8.00

=====

# 3
## NdSmAlHg (PBE-GGA)

Data for NdSmAlHg after structural relaxation.

a = 3.5954 Å, b = 3.5954 Å, c = 8.1882 Å
α = 90.00°, β = 90.00°, γ = 90.00°
With the nearest neighbours (Å) after each atom.
Sites, in units of the cell vectors:
Nd  0.0000  0.0000  0.0000  4 Al 3.23, 4 Hg 3.36, 4 Nd 3.60
Sm  0.0000  0.0000  0.4791  4 Al 3.20, 4 Hg 3.28
Al  0.5000  0.5000  0.2423  4 Sm 3.20, 4 Nd 3.23
Hg  0.5000  0.5000  0.7326  4 Sm 3.28, 4 Nd 3.36, 4 Hg 3.60

Values from the calculation:
ΔE to the lowest computed polymorph (meV/atom): 0
Raw total energy (eV per cell): -15.22
Size of the total moment (μB per formula unit): 0.00
Energy of formation from the pure elements (eV/atom): -0.42
Space group: P4mm (99)
Theoretical density (g/cm³): 8.19

=====

# 4
## Nd4AlTlHg2 (PBE-GGA)

Data for Nd4AlTlHg2 after structural relaxation.

a = 9.4318 Å, b = 9.4318 Å, c = 9.4318 Å
α = 33.44°, β = 33.44°, γ = 33.44°
With the nearest neighbours (Å) after each atom.
Sites, in units of the cell vectors:
Nd  0.1216  0.1216  0.1216  1 Al 3.24, 4 Hg 3.29-3.42, 3 Tl 3.36
Nd  0.3716  0.3716  0.3716  4 Hg 3.25-3.36, 3 Al 3.30, 1 Tl 3.43
Nd  0.6284  0.6284  0.6284  4 Hg 3.25-3.36, 3 Al 3.30, 1 Tl 3.43
Nd  0.8784  0.8784  0.8784  1 Al 3.24, 4 Hg 3.29-3.42, 3 Tl 3.36
Al  0.0000  0.0000  0.0000  8 Nd 3.24-3.30
Tl  0.5000  0.5000  0.5000  8 Nd 3.36-3.43
Hg  0.2497  0.2497  0.2497  8 Nd 3.25-3.42
Hg  0.7503  0.7503  0.7503  8 Nd 3.25-3.42

Values from the calculation:
Raw total energy (eV per cell): -29.05
Size of the total moment (μB per formula unit): 0.06
Energy of formation from the pure elements (eV/atom): -0.41
Space group: R-3m (166)
Theoretical density (g/cm³): 8.85

=====

# 5
## Nd4AlTl2Hg (PBE-GGA)

Data for Nd4AlTl2Hg after structural relaxation.

a = 9.4270 Å, b = 9.4270 Å, c = 9.4270 Å
α = 33.64°, β = 33.64°, γ = 33.64°
With the nearest neighbours (Å) after each atom.
Sites, in units of the cell vectors:
Nd  0.1226  0.1226  0.1226  1 Al 3.27, 4 Tl 3.30-3.33, 3 Hg 3.36
Nd  0.3730  0.3730  0.3730  3 Al 3.32, 4 Tl 3.35-3.38, 1 Hg 3.38
Nd  0.6270  0.6270  0.6270  3 Al 3.32, 4 Tl 3.35-3.38, 1 Hg 3.38
Nd  0.8774  0.8774  0.8774  1 Al 3.27, 4 Tl 3.30-3.33, 3 Hg 3.36
Al  0.0000  0.0000  0.0000  8 Nd 3.27-3.32
Tl  0.2474  0.2474  0.2474  8 Nd 3.30-3.38
Tl  0.7526  0.7526  0.7526  8 Nd 3.30-3.38
Hg  0.5000  0.5000  0.5000  8 Nd 3.36-3.38

Values from the calculation:
Raw total energy (eV per cell): -30.92
Size of the total moment (μB per formula unit): 0.00
Energy of formation from the pure elements (eV/atom): -0.38
Space group: R-3m (166)
Theoretical density (g/cm³): 8.80

=====

# 6
## Nd4AlZnHg2 (PBE-GGA)

Data for Nd4AlZnHg2 after structural relaxation.

a = 9.2878 Å, b = 9.2878 Å, c = 9.2878 Å
α = 33.50°, β = 33.50°, γ = 33.50°
With the nearest neighbours (Å) after each atom.
Sites, in units of the cell vectors:
Nd  0.1241  0.1241  0.1241  1 Zn 3.26, 4 Hg 3.27-3.29, 3 Al 3.29
Nd  0.3741  0.3741  0.3741  3 Zn 3.27, 4 Hg 3.28-3.29, 1 Al 3.31
Nd  0.6259  0.6259  0.6259  3 Zn 3.27, 4 Hg 3.28-3.29, 1 Al 3.31
Nd  0.8759  0.8759  0.8759  1 Zn 3.26, 4 Hg 3.27-3.29, 3 Al 3.29
Al  0.5000  0.5000  0.5000  8 Nd 3.29-3.31
Zn  0.0000  0.0000  0.0000  8 Nd 3.26-3.27
Hg  0.2494  0.2494  0.2494  8 Nd 3.27-3.29
Hg  0.7506  0.7506  0.7506  8 Nd 3.27-3.29

Values from the calculation:
Raw total energy (eV per cell): -27.66
Size of the total moment (μB per formula unit): 1.46
Energy of formation from the pure elements (eV/atom): -0.37
Space group: R-3m (166)
Theoretical density (g/cm³): 8.18

=====

# 7
## Nd4AlZn2Hg (PBE-GGA)

Data for Nd4AlZn2Hg after structural relaxation.

a = 9.2173 Å, b = 9.2173 Å, c = 9.2173 Å
α = 33.27°, β = 33.27°, γ = 33.27°
With the nearest neighbours (Å) after each atom.
Sites, in units of the cell vectors:
Nd  0.1225  0.1225  0.1225  1 Al 3.20, 4 Zn 3.23-3.37, 3 Hg 3.26
Nd  0.3728  0.3728  0.3728  4 Zn 3.16-3.24, 3 Al 3.22, 1 Hg 3.32
Nd  0.6272  0.6272  0.6272  4 Zn 3.16-3.24, 3 Al 3.22, 1 Hg 3.32
Nd  0.8775  0.8775  0.8775  1 Al 3.20, 4 Zn 3.23-3.37, 3 Hg 3.26
Al  0.0000  0.0000  0.0000  8 Nd 3.20-3.22
Zn  0.2516  0.2516  0.2516  8 Nd 3.16-3.37
Zn  0.7484  0.7484  0.7484  8 Nd 3.16-3.37
Hg  0.5000  0.5000  0.5000  8 Nd 3.26-3.32

Values from the calculation:
Raw total energy (eV per cell): -28.47
Size of the total moment (μB per formula unit): 0.00
Energy of formation from the pure elements (eV/atom): -0.35
Space group: R-3m (166)
Theoretical density (g/cm³): 7.40

=====

# 8
## Nd2Al3Zn4Hg (PBE-GGA)

Data for Nd2Al3Zn4Hg after structural relaxation.

a = 4.3150 Å, b = 4.3150 Å, c = 10.8307 Å
α = 90.00°, β = 90.00°, γ = 90.00°
With the nearest neighbours (Å) after each atom.
Sites, in units of the cell vectors:
Nd  0.0000  0.5000  0.2408  6 Al 3.28-3.54, 8 Zn 3.29-3.38, 2 Hg 3.54
Nd  0.5000  0.0000  0.7592  6 Al 3.28-3.54, 8 Zn 3.29-3.38, 2 Hg 3.54
Al  0.0000  0.5000  0.8715  5 Zn 2.46-2.57
Al  0.5000  0.0000  0.1285  5 Zn 2.46-2.57
Al  0.5000  0.5000  0.5000  4 Zn 2.67
Zn  0.0000  0.0000  0.0000  4 Al 2.57
Zn  0.0000  0.5000  0.6446  3 Al 2.46-2.67, 2 Hg 2.67
Zn  0.5000  0.0000  0.3554  3 Al 2.46-2.67, 2 Hg 2.67
Zn  0.5000  0.5000  0.0000  4 Al 2.57
Hg  0.0000  0.0000  0.5000  4 Zn 2.67

Values from the calculation:
Raw total energy (eV per cell): -29.82
Size of the total moment (μB per formula unit): 0.00
Energy of formation from the pure elements (eV/atom): -0.37
Space group: P-4m2 (115)
Theoretical density (g/cm³): 6.85

=====

# 9
## Al2NiHg (PBE-GGA)

Data for Al2NiHg after structural relaxation.

a = 4.6367 Å, b = 4.6367 Å, c = 4.6630 Å
α = 101.19°, β = 101.19°, γ = 42.02°
With the nearest neighbours (Å) after each atom.
Sites, in units of the cell vectors:
Al  0.0000  0.0000  0.0000  3 Ni 2.53-2.55, 1 Al 2.70, 2 Hg 2.73
Al  0.2450  0.2450  0.7254  2 Ni 2.50, 1 Hg 2.63, 1 Al 2.70
Ni  0.7246  0.7246  0.1150  5 Al 2.50-2.55
Hg  0.4845  0.4845  0.4573  5 Al 2.63-2.87, 1 Ni 2.87

Values from the calculation:
Raw total energy (eV per cell): -13.74
Size of the total moment (μB per formula unit): 0.00
Energy of formation from the pure elements (eV/atom): -0.04
Space group: Cm (8)
Theoretical density (g/cm³): 7.92

=====

# 10
## Al2NiHg2 (PBE-GGA)

Data for Al2NiHg2 after structural relaxation.

a = 6.4904 Å, b = 6.4904 Å, c = 4.4533 Å
α = 90.00°, β = 90.00°, γ = 90.00°
With the nearest neighbours (Å) after each atom.
Sites, in units of the cell vectors:
Al  0.1562  0.3438  0.0000  2 Ni 2.45, 2 Hg 2.74
Al  0.3438  0.8438  0.0000  2 Ni 2.45, 2 Hg 2.74
Al  0.6562  0.1562  0.0000  2 Ni 2.45, 2 Hg 2.74
Al  0.8438  0.6562  0.0000  2 Ni 2.45, 2 Hg 2.74
Ni  0.0000  0.0000  0.0000  4 Al 2.45
Ni  0.5000  0.5000  0.0000  4 Al 2.45
Hg  0.1691  0.6691  0.5000  6 Al 2.74-3.07
Hg  0.3309  0.1691  0.5000  6 Al 2.74-3.07
Hg  0.6691  0.8309  0.5000  6 Al 2.74-3.07
Hg  0.8309  0.3309  0.5000  6 Al 2.74-3.07

Values from the calculation:
Raw total energy (eV per cell): -26.25
Size of the total moment (μB per formula unit): 0.00
Energy of formation from the pure elements (eV/atom): 0.15
Space group: P4/mbm (127)
Theoretical density (g/cm³): 9.10

=====

# 11
## Al2Ni2Hg (PBE-GGA)

Data for Al2Ni2Hg after structural relaxation.

a = 6.1314 Å, b = 6.1314 Å, c = 6.1314 Å
α = 144.64°, β = 144.64°, γ = 50.88°
With the nearest neighbours (Å) after each atom.
Sites, in units of the cell vectors:
Al  0.2500  0.7500  0.5000  4 Ni 2.43, 4 Al 2.63
Al  0.7500  0.2500  0.5000  4 Ni 2.43, 4 Al 2.63
Ni  0.1088  0.1088  0.0000  1 Ni 2.41, 4 Al 2.43
Ni  0.8912  0.8912  0.0000  1 Ni 2.41, 4 Al 2.43
Hg  0.5000  0.5000  0.0000  8 Ni 2.90

Values from the calculation:
ΔE to the lowest computed polymorph (meV/atom): 170
Raw total energy (eV per cell): -20.10
Size of the total moment (μB per formula unit): 0.00
Energy of formation from the pure elements (eV/atom): -0.15
Space group: I4/mmm (139)
Theoretical density (g/cm³): 8.04

=====

# 12
## Al2NiHg (PBE-GGA)

Data for Al2NiHg after structural relaxation.

a = 2.8806 Å, b = 2.8806 Å, c = 7.8984 Å
α = 90.00°, β = 90.00°, γ = 90.00°
With the nearest neighbours (Å) after each atom.
Sites, in units of the cell vectors:
Al  0.0000  0.0000  0.0000  4 Ni 2.46
Al  0.5000  0.5000  0.2591  8 Al 2.88-2.89, 4 Hg 3.16
Ni  0.5000  0.5000  0.8242  4 Al 2.46
Hg  0.0000  0.0000  0.5647  4 Hg 2.88, 4 Ni 2.89, 4 Al 3.16

Values from the calculation:
Raw total energy (eV per cell): -13.72
Size of the total moment (μB per formula unit): 0.00
Energy of formation from the pure elements (eV/atom): -0.04
Space group: P4mm (99)
Theoretical density (g/cm³): 7.94